# MgMnZn2

A PBEsol-optimized structure of MgMnZn2 (SCAN, Alexandria via LeMat-Bulk).

abc: 4.166 4.166 3.391
angles: 90.00 90.00 90.00
Space group P4/mmm (No. 123)
Inequivalent atoms, fractional coordinates:
Mg 0.000 0.000 0.000 x1
Mn 0.500 0.500 0.000 x1
Zn 0.000 0.500 0.500 x2

Computed properties:
Total magnetic moment: 3.56 μB per formula unit
Crystal system: tetragonal
E_tot: -50.9 eV for the cell shown
DFT formation energy: -0.16 eV/atom